Record 1
Entry from Alexandria: a geometry-optimized ThAg3I8 structure (GGA-PBE).

Cell: 15.072 8.695 9.085 Å, 90.00 123.86 90.00°
Space group C2/m (No. 12)
Symmetry-distinct sites (fractional):
Th: 0.000 0.000 0.000 [2 per cell]
Ag: 0.000 0.500 0.000 [2 per cell]
Ag: 0.250 0.250 0.000 [4 per cell]
I: 0.002 0.244 0.249 [8 per cell]
I: 0.229 0.500 0.186 [4 per cell]
I: 0.246 0.000 0.248 [4 per cell]

Computed properties:
Total DFT energy (no corrections) ... -70.8 eV/cell

Record 2
Entry from Alexandria: a geometry-optimized Cs2Np2MnSe6 structure (GGA-PBE).

Cell: 7.104 12.292 8.889 Å, 90.00 105.29 90.00°
Space group C2/m (No. 12)
Symmetry-distinct sites (fractional):
Cs: 0.000 0.165 0.000 [4 per cell]
Np: 0.000 0.333 0.500 [4 per cell]
Mn: 0.000 0.000 0.500 [2 per cell]
Se: 0.225 0.166 0.678 [8 per cell]
Se: 0.229 0.500 0.677 [4 per cell]

Computed properties:
Total DFT energy (no corrections) ... -138.3 eV/cell

Record 3
Entry from Alexandria: a geometry-optimized Ac2SmMo2N6 structure (GGA-PBE).

Cell: 5.9225 5.9225 19.0783 Å, 90.00 90.00 120.00°
Space group R-3m (No. 166, hexagonal axes)
Symmetry-distinct sites (fractional):
Ac: 0.0000 0.0000 0.2050 [6 per cell]
Sm: 0.0000 0.0000 0.0000 [3 per cell]
Mo: 0.0000 0.0000 0.3999 [6 per cell]
N: 0.0057 0.5028 0.7625 [18 per cell]

Computed properties:
Total DFT energy (no corrections) ... -280.6 eV/cell

Record 4
Entry from Alexandria: a geometry-optimized Ga3WI structure (GGA-PBE).

Cell: 5.149 5.149 5.149 Å, 90.00 90.00 90.00°
Space group Pm-3m (No. 221)
Symmetry-distinct sites (fractional):
Ga: 0.000 0.000 0.500 [3 per cell]
W: 0.000 0.000 0.000 [1 per cell]
I: 0.500 0.500 0.500 [1 per cell]

Computed properties:
Total DFT energy (no corrections) ... -20.7 eV/cell
Energy above the lowest structure with this stoichiometry ... 0.000 eV per atom

Record 5
Entry from Alexandria: a geometry-optimized Ba2GaPtAu structure (GGA-PBE).

Cell: 6.137 6.137 4.783 Å, 90.00 90.00 90.00°
Space group P4/mmm (No. 123)
Symmetry-distinct sites (fractional):
Ba: 0.000 0.500 0.000 [2 per cell]
Ga: 0.000 0.000 0.500 [1 per cell]
Pt: 0.000 0.000 0.000 [1 per cell]
Au: 0.500 0.500 0.500 [1 per cell]

Computed properties:
Total DFT energy (no corrections) ... -19.1 eV/cell

Record 6
Entry from Alexandria: a geometry-optimized SmHoInPb structure (GGA-PBE).

Cell: 7.676 7.676 7.676 Å, 90.00 90.00 90.00°
Space group F-43m (No. 216)
Symmetry-distinct sites (fractional):
Sm: 0.000 0.000 0.000 [4 per cell]
Ho: 0.000 0.000 0.500 [4 per cell]
In: 0.250 0.250 0.750 [4 per cell]
Pb: 0.250 0.250 0.250 [4 per cell]

Computed properties:
Total DFT energy (no corrections) ... -69.6 eV/cell
Energy above the lowest structure with this stoichiometry ... 0.044 eV per atom

Record 7
Entry from Alexandria: a geometry-optimized Na3Mn2MoAs6 structure (GGA-PBE).

Cell: 5.696 9.941 8.254 Å, 90.00 103.54 90.00°
Space group C2/m (No. 12)
Symmetry-distinct sites (fractional):
Na: 0.000 0.000 0.000 [2 per cell]
Na: 0.000 0.336 0.000 [4 per cell]
Mn: 0.000 0.167 0.500 [4 per cell]
Mo: 0.000 0.500 0.500 [2 per cell]
As: 0.216 0.000 0.704 [4 per cell]
As: 0.245 0.324 0.704 [8 per cell]

Computed properties:
Total DFT energy (no corrections) ... -127.7 eV/cell

Record 8
Entry from Alexandria: a geometry-optimized PRuO3 structure (GGA-PBE).

Cell: 3.850 3.850 3.850 Å, 90.00 90.00 90.00°
Space group Pm-3m (No. 221)
Symmetry-distinct sites (fractional):
P: 0.000 0.000 0.000 [1 per cell]
Ru: 0.500 0.500 0.500 [1 per cell]
O: 0.000 0.500 0.500 [3 per cell]

Computed properties:
Total DFT energy (no corrections) ... -29.4 eV/cell

Record 9
Entry from Alexandria: a geometry-optimized GaAgBi structure (GGA-PBE).

Cell: 6.726 6.726 6.726 Å, 90.00 90.00 90.00°
Space group F-43m (No. 216)
Symmetry-distinct sites (fractional):
Ga: 0.000 0.000 0.000 [4 per cell]
Ag: 0.250 0.250 0.750 [4 per cell]
Bi: 0.000 0.000 0.500 [4 per cell]

Computed properties:
Total DFT energy (no corrections) ... -37.6 eV/cell
Energy above the lowest structure with this stoichiometry ... 0.010 eV per atom

Record 10
Entry from Alexandria: a geometry-optimized CuReSe2 structure (GGA-PBE).

Cell: 6.379 6.379 6.379 Å, 90.00 90.00 90.00°
Space group F-43m (No. 216)
Symmetry-distinct sites (fractional):
Cu: 0.000 0.000 0.000 [4 per cell]
Re: 0.250 0.250 0.250 [4 per cell]
Se: 0.000 0.000 0.500 [4 per cell]
Se: 0.250 0.250 0.750 [4 per cell]

Computed properties:
Total DFT energy (no corrections) ... -77.6 eV/cell
Energy above the lowest structure with this stoichiometry ... 0.848 eV per atom

Record 11
Entry from Alexandria: a geometry-optimized HfSc2Ni2 structure (GGA-PBE).

Cell: 7.716 7.716 2.885 Å, 90.00 90.00 90.00°
Space group P4/mbm (No. 127)
Symmetry-distinct sites (fractional):
Hf: 0.000 0.000 0.000 [2 per cell]
Sc: 0.137 0.363 0.000 [4 per cell]
Ni: 0.165 0.665 0.500 [4 per cell]

Computed properties:
Total DFT energy (no corrections) ... -69.8 eV/cell
Energy above the lowest structure with this stoichiometry ... 0.203 eV per atom

Record 12
Entry from Alexandria: a geometry-optimized Pm2DyHg5 structure (GGA-PBE).

Cell: 5.230 5.230 15.012 Å, 90.00 90.00 90.00°
Space group I4/mmm (No. 139)
Symmetry-distinct sites (fractional):
Pm: 0.000 0.000 0.235 [4 per cell]
Dy: 0.000 0.000 0.500 [2 per cell]
Hg: 0.000 0.000 0.000 [2 per cell]
Hg: 0.000 0.500 0.119 [8 per cell]

Computed properties:
Total DFT energy (no corrections) ... -37.9 eV/cell

Record 13
Entry from Alexandria: a geometry-optimized Ti5VTc4 structure (GGA-PBE).

Cell: 3.109 3.109 15.544 Å, 90.00 90.00 90.00°
Space group P4/mmm (No. 123)
Symmetry-distinct sites (fractional):
Ti: 0.000 0.000 0.000 [1 per cell]
Ti: 0.000 0.000 0.199 [2 per cell]
Ti: 0.000 0.000 0.396 [2 per cell]
V: 0.500 0.500 0.500 [1 per cell]
Tc: 0.500 0.500 0.100 [2 per cell]
Tc: 0.500 0.500 0.302 [2 per cell]

Computed properties:
Total DFT energy (no corrections) ... -93.8 eV/cell

Record 14
Entry from Alexandria: a geometry-optimized TbY6In structure (GGA-PBE).

Cell: 4.923 4.923 10.095 Å, 90.00 90.00 90.00°
Space group P4/mmm (No. 123)
Symmetry-distinct sites (fractional):
Tb: 0.000 0.000 0.000 [1 per cell]
Y: 0.000 0.500 0.257 [4 per cell]
Y: 0.500 0.500 0.000 [1 per cell]
Y: 0.500 0.500 0.500 [1 per cell]
In: 0.000 0.000 0.500 [1 per cell]

Computed properties:
Total DFT energy (no corrections) ... -47.1 eV/cell
Energy above the lowest structure with this stoichiometry ... 0.000 eV per atom

Record 15
Entry from Alexandria: a geometry-optimized LiAgBr2 structure (GGA-PBE).

Cell: 7.821 7.617 4.312 Å, 90.00 117.03 90.00°
Space group C2/m (No. 12)
Symmetry-distinct sites (fractional):
Li: 0.000 0.000 0.000 [2 per cell]
Ag: 0.000 0.500 0.000 [2 per cell]
Br: 0.250 0.250 0.000 [4 per cell]

Computed properties:
Total DFT energy (no corrections) ... -22.6 eV/cell
Energy above the lowest structure with this stoichiometry ... 0.142 eV per atom

Record 16
Entry from Alexandria: a geometry-optimized CeY3Ho6 structure (GGA-PBE).

Cell: 11.056 18.813 6.103 Å, 90.00 90.00 90.00°
Space group Cmc2_1 (No. 36)
Symmetry-distinct sites (fractional):
Ce: 0.000 0.208 0.000 [4 per cell]
Y: 0.000 0.389 0.074 [4 per cell]
Y: 0.170 0.110 0.679 [8 per cell]
Ho: 0.000 0.050 0.203 [4 per cell]
Ho: 0.000 0.279 0.508 [4 per cell]
Ho: 0.164 0.453 0.609 [8 per cell]
Ho: 0.246 0.212 0.260 [8 per cell]

Computed properties:
Total DFT energy (no corrections) ... -204.9 eV/cell
Energy above the lowest structure with this stoichiometry ... 0.000 eV per atom

Record 17
Entry from Alexandria: a geometry-optimized SmSn2Pd7 structure (GGA-PBE).

Cell: 4.137 4.137 22.371 Å, 90.00 90.00 90.00°
Space group I4/mmm (No. 139)
Symmetry-distinct sites (fractional):
Sm: 0.000 0.000 0.000 [2 per cell]
Sn: 0.000 0.000 0.328 [4 per cell]
Pd: 0.000 0.000 0.500 [2 per cell]
Pd: 0.000 0.500 0.095 [8 per cell]
Pd: 0.000 0.500 0.250 [4 per cell]

Computed properties:
Total DFT energy (no corrections) ... -109.6 eV/cell
Energy above the lowest structure with this stoichiometry ... 0.000 eV per atom

Record 18
Entry from Alexandria: a geometry-optimized SrCo2Br6 structure (GGA-PBE).

Cell: 13.946 12.898 7.217 Å, 90.00 103.67 90.00°
Space group C2/c (No. 15)
Symmetry-distinct sites (fractional):
Sr: 0.000 0.125 0.250 [4 per cell]
Co: 0.201 0.427 0.273 [8 per cell]
Br: 0.119 0.074 0.657 [8 per cell]
Br: 0.137 0.271 0.116 [8 per cell]
Br: 0.142 0.431 0.562 [8 per cell]

Computed properties:
Total DFT energy (no corrections) ... -134.9 eV/cell

Record 19
Entry from Alexandria: a geometry-optimized RbNp4Ag3Te12 structure (GGA-PBE).

Cell: 11.177 11.177 11.177 Å, 90.00 90.00 90.00°
Space group Im-3 (No. 204)
Symmetry-distinct sites (fractional):
Rb: 0.000 0.000 0.000 [2 per cell]
Np: 0.250 0.250 0.250 [8 per cell]
Ag: 0.000 0.000 0.500 [6 per cell]
Te: 0.000 0.172 0.314 [24 per cell]

Computed properties:
Total DFT energy (no corrections) ... -210.4 eV/cell

Record 20
Entry from Alexandria: a geometry-optimized TiFeNi5 structure (GGA-PBE).

Cell: 3.622 3.622 6.626 Å, 90.00 90.00 90.00°
Space group P4/mmm (No. 123)
Symmetry-distinct sites (fractional):
Ti: 0.000 0.000 0.000 [1 per cell]
Fe: 0.500 0.500 0.500 [1 per cell]
Ni: 0.000 0.500 0.271 [4 per cell]
Ni: 0.500 0.500 0.000 [1 per cell]

Computed properties:
Total DFT energy (no corrections) ... -45.8 eV/cell